1.
First-principles (PBE) data for a relaxed structure of NpInBi2, as listed in Alexandria.

The structure in CIF format:
```
data_NpInBi2
_chemical_formula_sum 'Np1 In1 Bi2'
_space_group_name_H-M_alt 'P 4/m m m'
_space_group_IT_number 123
_space_group_name_Hall '-P 4 2'
_cell_length_a 4.9895
_cell_length_b 4.9895
_cell_length_c 4.4997
_cell_angle_alpha 90.00
_cell_angle_beta 90.00
_cell_angle_gamma 90.00
loop_
_atom_site_label
_atom_site_fract_x
_atom_site_fract_y
_atom_site_fract_z
Np1 0.0000 0.0000 0.0000
In1 0.5000 0.5000 0.0000
Bi1 0.0000 0.5000 0.5000
```

## Properties
polymorph energy (0 for the lowest one) = 0 meV per atom



2.
First-principles (PBE) data for a relaxed structure of Fe3W5N8, as listed in Alexandria.

The structure in CIF format:
```
data_Fe3W5N8
_chemical_formula_sum 'Fe3 W5 N8'
_space_group_name_H-M_alt 'P -6 m 2'
_space_group_IT_number 187
_space_group_name_Hall 'P -6 2'
_cell_length_a 2.8686
_cell_length_b 2.8686
_cell_length_c 22.5428
_cell_angle_alpha 90.00
_cell_angle_beta 90.00
_cell_angle_gamma 120.00
loop_
_atom_site_label
_atom_site_fract_x
_atom_site_fract_y
_atom_site_fract_z
Fe1 0.0000 0.0000 0.0000
Fe2 0.0000 0.0000 0.2454
W1 0.0000 0.0000 0.1227
W2 0.0000 0.0000 0.3694
W3 0.0000 0.0000 0.5000
N1 0.3333 0.6667 0.0629
N2 0.3333 0.6667 0.4399
N3 0.6667 0.3333 0.1826
N4 0.6667 0.3333 0.3103
```

## Properties
energy relative to the elements, uncorrected = -0.102 eV per atom



3.
First-principles (PBE) data for a relaxed structure of Rb2HI6N, as listed in Alexandria.

The structure in CIF format:
```
data_Rb2HI6N
_chemical_formula_sum 'Rb4 H2 I12 N2'
_space_group_name_H-M_alt 'I 4/m m m'
_space_group_IT_number 139
_space_group_name_Hall '-I 4 2'
_cell_length_a 7.2552
_cell_length_b 7.2552
_cell_length_c 12.7541
_cell_angle_alpha 90.00
_cell_angle_beta 90.00
_cell_angle_gamma 90.00
loop_
_atom_site_label
_atom_site_fract_x
_atom_site_fract_y
_atom_site_fract_z
Rb1 0.0000 0.5000 0.2500
H1 0.0000 0.0000 0.0000
I1 0.0000 0.0000 0.2947
I2 0.2454 0.2454 0.0000
N1 0.0000 0.0000 0.5000
```

## Properties
total energy = -45.502 eV/cell



4.
First-principles (PBE) data for a relaxed structure of TcAsCl3, as listed in Alexandria.

The structure in CIF format:
```
data_TcAsCl3
_chemical_formula_sum 'Tc1 As1 Cl3'
_space_group_name_H-M_alt 'P m -3 m'
_space_group_IT_number 221
_space_group_name_Hall '-P 4 2 3'
_cell_length_a 5.1179
_cell_length_b 5.1179
_cell_length_c 5.1179
_cell_angle_alpha 90.00
_cell_angle_beta 90.00
_cell_angle_gamma 90.00
loop_
_atom_site_label
_atom_site_fract_x
_atom_site_fract_y
_atom_site_fract_z
Tc1 0.0000 0.0000 0.0000
As1 0.5000 0.5000 0.5000
Cl1 0.0000 0.5000 0.5000
```

## Properties
polymorph energy (0 for the lowest one) = 257 meV per atom
energy relative to the elements, uncorrected = 0.654 eV per atom



5.
First-principles (PBE) data for a relaxed structure of Ce3TlTe2, as listed in Alexandria.

The structure in CIF format:
```
data_Ce3TlTe2
_chemical_formula_sum 'Ce6 Tl2 Te4'
_space_group_name_H-M_alt 'I m m m'
_space_group_IT_number 71
_space_group_name_Hall '-I 2 2'
_cell_length_a 4.4287
_cell_length_b 6.3706
_cell_length_c 13.7606
_cell_angle_alpha 90.00
_cell_angle_beta 90.00
_cell_angle_gamma 90.00
loop_
_atom_site_label
_atom_site_fract_x
_atom_site_fract_y
_atom_site_fract_z
Ce1 0.0000 0.0000 0.0000
Ce2 0.0000 0.0000 0.3307
Tl1 0.0000 0.5000 0.0000
Te1 0.0000 0.5000 0.3337
```

## Properties
energy relative to the elements, uncorrected = -0.943 eV per atom



6.
First-principles (PBE) data for a relaxed structure of Sr2MoSe, as listed in Alexandria.

The structure in CIF format:
```
data_Sr2MoSe
_chemical_formula_sum 'Sr4 Mo2 Se2'
_space_group_name_H-M_alt 'I m m 2'
_space_group_IT_number 44
_space_group_name_Hall 'I 2 -2'
_cell_length_a 3.5451
_cell_length_b 5.3908
_cell_length_c 11.5754
_cell_angle_alpha 90.00
_cell_angle_beta 90.00
_cell_angle_gamma 90.00
loop_
_atom_site_label
_atom_site_fract_x
_atom_site_fract_y
_atom_site_fract_z
Sr1 0.0000 0.0000 0.0000
Sr2 0.0000 0.5000 0.1980
Mo1 0.0000 0.5000 0.8067
Se1 0.0000 0.0000 0.4626
```

## Properties
energy relative to the elements, uncorrected = 0.007 eV per atom



7.
First-principles (PBE) data for a relaxed structure of Zr3Ti4Bi2, as listed in Alexandria.

The structure in CIF format:
```
data_Zr3Ti4Bi2
_chemical_formula_sum 'Zr3 Ti4 Bi2'
_space_group_name_H-M_alt 'P -3 m 1'
_space_group_IT_number 164
_space_group_name_Hall '-P 3 2"'
_cell_length_a 4.8377
_cell_length_b 4.8377
_cell_length_c 9.0263
_cell_angle_alpha 90.00
_cell_angle_beta 90.00
_cell_angle_gamma 120.00
loop_
_atom_site_label
_atom_site_fract_x
_atom_site_fract_y
_atom_site_fract_z
Zr1 0.0000 0.0000 0.0000
Zr2 0.3333 0.6667 0.5664
Ti1 0.0000 0.0000 0.3454
Ti2 0.3333 0.6667 0.8977
Bi1 0.3333 0.6667 0.2189
```

## Properties
total energy = -65.031 eV/cell



8.
First-principles (PBE) data for a relaxed structure of PmDy6Sc4, as listed in Alexandria.

The structure in CIF format:
```
data_PmDy6Sc4
_chemical_formula_sum 'Pm1 Dy6 Sc4'
_space_group_name_H-M_alt 'P -6 m 2'
_space_group_IT_number 187
_space_group_name_Hall 'P -6 2'
_cell_length_a 8.6911
_cell_length_b 8.6911
_cell_length_c 5.2469
_cell_angle_alpha 90.00
_cell_angle_beta 90.00
_cell_angle_gamma 120.00
loop_
_atom_site_label
_atom_site_fract_x
_atom_site_fract_y
_atom_site_fract_z
Pm1 0.0000 0.0000 0.0000
Dy1 0.2004 0.4008 0.5000
Dy2 0.5334 0.0668 0.0000
Sc1 0.3333 0.6667 0.0000
Sc2 0.4272 0.2136 0.5000
```

## Properties
polymorph energy (0 for the lowest one) = 205 meV per atom